# 1
Material: TbPrLuTh
Method: DFT, PBE-GGA
State: relaxed

Magnetization, μB per formula unit: 0.0
Energy of formation from the pure elements, eV per atom: 0.129

Lattice parameters (Å, degrees): 5.6913 5.6913 5.6913 60.00 60.00 60.00
Last column: nearest neighbours and their distance in Å.
Sites, in units of the cell vectors:
Pr 0.0000 0.0000 0.0000  4 Lu 3.49, 4 Tb 3.49
Lu 0.2500 0.2500 0.2500  4 Th 3.49, 4 Pr 3.49
Tb 0.7500 0.7500 0.7500  4 Pr 3.49, 4 Th 3.49
Th 0.5000 0.5000 0.5000  4 Tb 3.49, 4 Lu 3.49

=====

# 2
Material: TbPrYLu
Method: DFT, PBE-GGA
State: relaxed

Magnetization, μB per formula unit: 0.0
Energy of formation from the pure elements, eV per atom: 0.120

Lattice parameters (Å, degrees): 5.7011 5.7011 5.7011 60.00 60.00 60.00
Last column: nearest neighbours and their distance in Å.
Sites, in units of the cell vectors:
Pr 0.7500 0.7500 0.7500  4 Tb 3.49, 4 Lu 3.49
Y 0.2500 0.2500 0.2500  4 Tb 3.49, 4 Lu 3.49
Lu 0.0000 0.0000 0.0000  4 Y 3.49, 4 Pr 3.49
Tb 0.5000 0.5000 0.5000  4 Pr 3.49, 4 Y 3.49

=====

# 3
Material: TbPrLuZr
Method: DFT, PBE-GGA
State: relaxed

Magnetization, μB per formula unit: 1.1
Energy of formation from the pure elements, eV per atom: 0.221

Lattice parameters (Å, degrees): 5.5119 5.5119 5.5119 60.00 60.00 60.00
Last column: nearest neighbours and their distance in Å.
Sites, in units of the cell vectors:
Pr 0.7500 0.7500 0.7500  4 Lu 3.38, 4 Tb 3.38
Lu 0.5000 0.5000 0.5000  4 Zr 3.38, 4 Pr 3.38
Tb 0.0000 0.0000 0.0000  4 Pr 3.38, 4 Zr 3.38
Zr 0.2500 0.2500 0.2500  4 Tb 3.38, 4 Lu 3.38

=====

# 4
Material: PrLuTc
Method: DFT, PBE-GGA
State: relaxed

Magnetization, μB per formula unit: 0.0
Energy of formation from the pure elements, eV per atom: 0.029

Lattice parameters (Å, degrees): 3.4942 3.4942 6.7706 104.95 104.95 90.00
Last column: nearest neighbours and their distance in Å.
Sites, in units of the cell vectors:
Pr 0.3002 0.3002 0.6005  4 Tc 3.04, 1 Lu 3.29
Lu 0.0396 0.0396 0.0792  4 Tc 2.90
Tc 0.6602 0.6602 0.3204  4 Lu 2.90, 4 Pr 3.04